First-principles (PBE) data for an optimized crystal structure of Ba2ErZrSe6, as listed in Alexandria.

Results
Symmetry: Pmmn (59)
E_tot: -5.38 eV per atom
Magnetic moment: 0.000 μB/atom
Raw formation energy: -1.591 eV per atom

abc: 7.611 10.744 7.590
angles: 90.00 90.00 90.00
Fractional coordinates of all 20 atoms:
Ba (0.250, 0.006, 0.241)
Ba (0.250, 0.494, 0.241)
Ba (0.750, 0.506, 0.759)
Ba (0.750, 0.994, 0.759)
Er (0.250, 0.750, 0.753)
Er (0.750, 0.250, 0.247)
Zr (0.250, 0.250, 0.745)
Zr (0.750, 0.750, 0.255)
Se (0.003, 0.250, 0.991)
Se (0.007, 0.250, 0.498)
Se (0.250, 0.004, 0.756)
Se (0.250, 0.496, 0.756)
Se (0.493, 0.250, 0.498)
Se (0.497, 0.250, 0.991)
Se (0.503, 0.750, 0.009)
Se (0.507, 0.750, 0.502)
Se (0.750, 0.504, 0.244)
Se (0.750, 0.996, 0.244)
Se (0.993, 0.750, 0.502)
Se (0.997, 0.750, 0.009)

First-principles (PBE) data for an optimized crystal structure of Tb2Cd2Ir, as listed in Alexandria.

Results
Symmetry: I4/mmm (139)
Formation energy: -499 meV per atom
E_tot: -4.49 eV per atom
Magnetic moment: 0.000 μB/atom

abc: 10.196 10.196 10.196
angles: 160.55 160.55 27.64
Fractional coordinates of all 5 atoms:
Tb (0.085, 0.085, 0.000)
Tb (0.915, 0.915, 0.000)
Cd (0.297, 0.297, 0.000)
Cd (0.703, 0.703, 0.000)
Ir (0.500, 0.500, 0.000)

First-principles (PBE) data for an optimized crystal structure of Ca2OsRu, as listed in Alexandria.

Results
Symmetry: P4/mmm (123)
Formation energy: 660 meV per atom
E_tot: -5.47 eV per atom
Polymorph energy (0 for the lowest one): 0.4236 eV/atom
Magnetic moment: 0.441 μB/atom

abc: 4.160 4.160 4.516
angles: 90.00 90.00 90.00
Fractional coordinates of all 4 atoms:
Ca (0.000, 0.500, 0.000)
Ca (0.500, 0.000, 0.000)
Os (0.000, 0.000, 0.500)
Ru (0.500, 0.500, 0.500)

First-principles (PBE) data for an optimized crystal structure of HfPaGe2, as listed in Alexandria.

Results
Symmetry: P4/mmm (123)
Formation energy: -411 meV per atom
E_tot: -7.58 eV per atom
Polymorph energy (0 for the lowest one): 0.0506 eV/atom
Magnetic moment: 0.137 μB/atom

abc: 3.640 3.640 6.113
angles: 90.00 90.00 90.00
Fractional coordinates of all 4 atoms:
Hf (0.000, 0.000, 0.000)
Pa (0.000, 0.000, 0.500)
Ge (0.500, 0.500, 0.220)
Ge (0.500, 0.500, 0.780)

First-principles (PBE) data for an optimized crystal structure of Ac3Hg4Pd2, as listed in Alexandria.

Results
Symmetry: C2/m (12)
Formation energy: -598 meV per atom
E_tot: -3.26 eV per atom
Polymorph energy (0 for the lowest one): 0.0000 eV/atom
Magnetic moment: 0.000 μB/atom

abc: 6.453 6.453 9.552
angles: 112.51 112.51 43.67
Fractional coordinates of all 9 atoms:
Ac (0.000, 0.000, 0.000)
Ac (0.321, 0.321, 0.355)
Ac (0.679, 0.679, 0.645)
Hg (0.035, 0.035, 0.367)
Hg (0.277, 0.277, 0.934)
Hg (0.723, 0.723, 0.066)
Hg (0.965, 0.965, 0.633)
Pd (0.391, 0.391, 0.727)
Pd (0.609, 0.609, 0.273)

First-principles (PBE) data for an optimized crystal structure of AcPd2Pt, as listed in Alexandria.

Results
Symmetry: Pmma (51)
Formation energy: -736 meV per atom
E_tot: -5.87 eV per atom
Polymorph energy (0 for the lowest one): 0.0015 eV/atom
Magnetic moment: 0.000 μB/atom

abc: 5.530 4.406 6.928
angles: 90.00 90.00 90.00
Fractional coordinates of all 8 atoms:
Ac (0.250, 0.000, 0.190)
Ac (0.750, 0.000, 0.810)
Pd (0.000, 0.500, 0.500)
Pd (0.250, 0.000, 0.632)
Pd (0.500, 0.500, 0.500)
Pd (0.750, 0.000, 0.368)
Pt (0.250, 0.500, 0.864)
Pt (0.750, 0.500, 0.136)

First-principles (PBE) data for an optimized crystal structure of InTc2Ge, as listed in Alexandria.

Results
Symmetry: I-42d (122)
Formation energy: 587 meV per atom
E_tot: -6.44 eV per atom
Polymorph energy (0 for the lowest one): 0.3157 eV/atom
Magnetic moment: 0.250 μB/atom

abc: 5.814 5.814 5.814
angles: 102.68 102.68 124.12
Fractional coordinates of all 8 atoms:
In (0.000, 0.000, 0.000)
In (0.750, 0.250, 0.500)
Tc (0.178, 0.625, 0.053)
Tc (0.375, 0.428, 0.553)
Tc (0.572, 0.125, 0.947)
Tc (0.875, 0.822, 0.447)
Ge (0.250, 0.750, 0.500)
Ge (0.500, 0.500, 0.000)

First-principles (PBE) data for an optimized crystal structure of Ac2YHg8, as listed in Alexandria.

Results
Symmetry: Immm (71)
Formation energy: -352 meV per atom
E_tot: -1.91 eV per atom
Magnetic moment: 0.000 μB/atom

abc: 8.665 8.665 8.665
angles: 143.73 125.08 67.60
Fractional coordinates of all 11 atoms:
Ac (0.207, 0.207, 0.000)
Ac (0.793, 0.793, 0.000)
Y (0.500, 0.500, 0.000)
Hg (0.068, 0.372, 0.696)
Hg (0.217, 0.000, 0.217)
Hg (0.324, 0.628, 0.696)
Hg (0.354, 0.854, 0.500)
Hg (0.646, 0.146, 0.500)
Hg (0.676, 0.372, 0.304)
Hg (0.783, 0.000, 0.783)
Hg (0.932, 0.628, 0.304)